# SmAlPd, relaxed, DFT PBE
# total energy = -5.298 eV/atom
# M_tot = 0.000 μB per formula unit
data_SmAlPd
_space_group_name_H-M_alt 'P -6 m 2'
_space_group_IT_number 187
_space_group_name_Hall 'P -6 2'
_cell_length_a 4.4489
_cell_length_b 4.4489
_cell_length_c 3.8466
_cell_angle_alpha 90.00
_cell_angle_beta 90.00
_cell_angle_gamma 120.00
loop_
_atom_site_label
_atom_site_type_symbol
_atom_site_fract_x
_atom_site_fract_y
_atom_site_fract_z
Sm1 Sm 0.0000 0.0000 0.0000
Al1 Al 0.3333 0.6667 0.5000
Pd1 Pd 0.6667 0.3333 0.5000

# Pm6Pr3Dy, relaxed, DFT PBE
# total energy = -4.530 eV/atom
# M_tot = 0.000 μB per formula unit
data_Pm6Pr3Dy
_space_group_name_H-M_alt 'C 1 2/m 1'
_space_group_IT_number 12
_space_group_name_Hall '-C 2y'
_cell_length_a 11.632
_cell_length_b 6.885
_cell_length_c 9.202
_cell_angle_alpha 90.00
_cell_angle_beta 107.40
_cell_angle_gamma 90.00
loop_
_atom_site_label
_atom_site_type_symbol
_atom_site_fract_x
_atom_site_fract_y
_atom_site_fract_z
Pm1 Pm 0.125 0.000 0.418
Pm2 Pm 0.188 0.260 0.802
Pr1 Pr 0.000 0.500 0.500
Pr2 Pr 0.077 0.500 0.168
Dy1 Dy 0.000 0.000 0.000

# As2IrAu, relaxed, DFT PBE
# total energy = -5.216 eV/atom
# M_tot = 0.000 μB per formula unit
data_As2IrAu
_space_group_name_H-M_alt 'R 3 m'
_space_group_IT_number 160
_space_group_name_Hall 'R 3 -2"'
_cell_length_a 3.6390
_cell_length_b 3.6390
_cell_length_c 20.5842
_cell_angle_alpha 90.00
_cell_angle_beta 90.00
_cell_angle_gamma 120.00
loop_
_atom_site_label
_atom_site_type_symbol
_atom_site_fract_x
_atom_site_fract_y
_atom_site_fract_z
As1 As 0.0000 0.0000 0.0000
As2 As 0.0000 0.0000 0.2183
Ir1 Ir 0.0000 0.0000 0.4960
Au1 Au 0.0000 0.0000 0.7373

# Y2B2Rh5, relaxed, DFT PBE
# total energy = -7.676 eV/atom
# M_tot = 0.000 μB per formula unit
data_Y2B2Rh5
_space_group_name_H-M_alt 'P 4/m m m'
_space_group_IT_number 123
_space_group_name_Hall '-P 4 2'
_cell_length_a 4.165
_cell_length_b 4.165
_cell_length_c 8.174
_cell_angle_alpha 90.00
_cell_angle_beta 90.00
_cell_angle_gamma 90.00
loop_
_atom_site_label
_atom_site_type_symbol
_atom_site_fract_x
_atom_site_fract_y
_atom_site_fract_z
Y1 Y 0.000 0.000 0.000
Y2 Y 0.000 0.000 0.500
B1 B 0.500 0.500 0.223
Rh1 Rh 0.000 0.500 0.248
Rh2 Rh 0.500 0.500 0.500

# Ho3ThZn2, relaxed, DFT PBE
# total energy = -4.182 eV/atom
# M_tot = 0.000 μB per formula unit
data_Ho3ThZn2
_space_group_name_H-M_alt 'P 4/m m m'
_space_group_IT_number 123
_space_group_name_Hall '-P 4 2'
_cell_length_a 3.542
_cell_length_b 3.542
_cell_length_c 12.137
_cell_angle_alpha 90.00
_cell_angle_beta 90.00
_cell_angle_gamma 90.00
loop_
_atom_site_label
_atom_site_type_symbol
_atom_site_fract_x
_atom_site_fract_y
_atom_site_fract_z
Ho1 Ho 0.000 0.000 0.000
Ho2 Ho 0.000 0.000 0.295
Th1 Th 0.500 0.500 0.500
Zn1 Zn 0.500 0.500 0.146

# MnTeHPd2, relaxed, DFT PBE
# total energy = -5.327 eV/atom
# M_tot = 4.100 μB per formula unit
data_MnTeHPd2
_space_group_name_H-M_alt 'P 4/m m m'
_space_group_IT_number 123
_space_group_name_Hall '-P 4 2'
_cell_length_a 4.085
_cell_length_b 4.085
_cell_length_c 4.303
_cell_angle_alpha 90.00
_cell_angle_beta 90.00
_cell_angle_gamma 90.00
loop_
_atom_site_label
_atom_site_type_symbol
_atom_site_fract_x
_atom_site_fract_y
_atom_site_fract_z
Mn1 Mn 0.000 0.000 0.000
Te1 Te 0.500 0.500 0.000
H1 H 0.000 0.000 0.500
Pd1 Pd 0.000 0.500 0.500

# LaSmN2, relaxed, DFT PBE
# energy relative to the elements, uncorrected = -1.09 eV/atom
# M_tot = 0.000 μB per formula unit
data_LaSmN2
_space_group_name_H-M_alt 'P -3 m 1'
_space_group_IT_number 164
_space_group_name_Hall '-P 3 2"'
_cell_length_a 3.5868
_cell_length_b 3.5868
_cell_length_c 6.3069
_cell_angle_alpha 90.00
_cell_angle_beta 90.00
_cell_angle_gamma 120.00
loop_
_atom_site_label
_atom_site_type_symbol
_atom_site_fract_x
_atom_site_fract_y
_atom_site_fract_z
La1 La 0.0000 0.0000 0.0000
Sm1 Sm 0.0000 0.0000 0.5000
N1 N 0.3333 0.6667 0.2576

# NdDy4Tm8, relaxed, DFT PBE
# total energy = -4.323 eV/atom
# M_tot = 0.000 μB per formula unit
data_NdDy4Tm8
_space_group_name_H-M_alt 'R -3 m'
_space_group_IT_number 166
_space_group_name_Hall '-R 3 2"'
_cell_length_a 7.2390
_cell_length_b 7.2390
_cell_length_c 26.7264
_cell_angle_alpha 90.00
_cell_angle_beta 90.00
_cell_angle_gamma 120.00
loop_
_atom_site_label
_atom_site_type_symbol
_atom_site_fract_x
_atom_site_fract_y
_atom_site_fract_z
Nd1 Nd 0.0000 0.0000 0.0000
Dy1 Dy 0.0000 0.0000 0.5000
Dy2 Dy 0.0000 0.5000 0.5000
Tm1 Tm 0.0000 0.0000 0.2815
Tm2 Tm 0.0391 0.5195 0.2691

# PaTl2Cl6, relaxed, DFT PBE
# energy relative to the elements, uncorrected = -1.56 eV/atom
# M_tot = 1.000 μB per formula unit
data_PaTl2Cl6
_space_group_name_H-M_alt 'P 1 21/c 1'
_space_group_IT_number 14
_space_group_name_Hall '-P 2ybc'
_cell_length_a 7.600
_cell_length_b 8.112
_cell_length_c 12.520
_cell_angle_alpha 90.00
_cell_angle_beta 120.71
_cell_angle_gamma 90.00
loop_
_atom_site_label
_atom_site_type_symbol
_atom_site_fract_x
_atom_site_fract_y
_atom_site_fract_z
Pa1 Pa 0.000 0.000 0.000
Tl1 Tl 0.311 0.085 0.770
Cl1 Cl 0.087 0.059 0.230
Cl2 Cl 0.234 0.733 0.077
Cl3 Cl 0.327 0.175 0.043

# Th4Al2Hg5, relaxed, DFT PBE
# total energy = -3.742 eV/atom
# M_tot = 0.000 μB per formula unit
data_Th4Al2Hg5
_space_group_name_H-M_alt 'P 1 2/m 1'
_space_group_IT_number 10
_space_group_name_Hall '-P 2y'
_cell_length_a 8.054
_cell_length_b 3.544
_cell_length_c 10.130
_cell_angle_alpha 90.00
_cell_angle_beta 95.29
_cell_angle_gamma 90.00
loop_
_atom_site_label
_atom_site_type_symbol
_atom_site_fract_x
_atom_site_fract_y
_atom_site_fract_z
Th1 Th 0.177 0.000 0.378
Th2 Th 0.265 0.000 0.938
Al1 Al 0.060 0.500 0.128
Hg1 Hg 0.173 0.500 0.660
Hg2 Hg 0.436 0.500 0.194
Hg3 Hg 0.500 0.500 0.500

# Nd2HoHg, relaxed, DFT PBE
# total energy = -3.832 eV/atom
# M_tot = 0.000 μB per formula unit
data_Nd2HoHg
_space_group_name_H-M_alt 'P 4/n m m'
_space_group_IT_number 129
_cell_length_a 5.223
_cell_length_b 5.223
_cell_length_c 8.956
_cell_angle_alpha 90.00
_cell_angle_beta 90.00
_cell_angle_gamma 90.00
loop_
_space_group_symop_operation_xyz
'x,y,z'
'-x,-y,-z'
'-y+1/2,x,z'
'y+1/2,-x,-z'
'-x+1/2,-y+1/2,z'
'x+1/2,y+1/2,-z'
'y,-x+1/2,z'
'-y,x+1/2,-z'
'x+1/2,-y,-z'
'-x+1/2,y,z'
'-y,-x,-z'
'y,x,z'
'-x,y+1/2,-z'
'x,-y+1/2,z'
'y+1/2,x+1/2,-z'
'-y+1/2,-x+1/2,z'
loop_
_atom_site_label
_atom_site_type_symbol
_atom_site_fract_x
_atom_site_fract_y
_atom_site_fract_z
Nd1 Nd 0.250 0.250 0.221
Nd2 Nd 0.250 0.750 0.500
Ho1 Ho 0.250 0.250 0.784
Hg1 Hg 0.250 0.750 0.000

# KAs6S8, relaxed, DFT PBE
# energy relative to the elements, uncorrected = -0.08 eV/atom
# M_tot = 0.000 μB per formula unit
data_KAs6S8
_space_group_name_H-M_alt 'R -3'
_space_group_IT_number 148
_space_group_name_Hall '-R 3'
_cell_length_a 11.2374
_cell_length_b 11.2374
_cell_length_c 12.9744
_cell_angle_alpha 90.00
_cell_angle_beta 90.00
_cell_angle_gamma 120.00
loop_
_atom_site_label
_atom_site_type_symbol
_atom_site_fract_x
_atom_site_fract_y
_atom_site_fract_z
K1 K 0.0000 0.0000 0.0000
As1 As 0.0457 0.1928 0.3958
S1 S 0.0000 0.0000 0.2819
S2 S 0.0253 0.7240 0.4018